! RbZrV2F | Alexandria | PBE with a Hubbard U | optimized geometry; values from VASP
! * crystal system: tetragonal
! * energy: -22.5 eV/cell
! * space group: P4/mmm
! * volume: 120 Å³/f.u.
&SYSTEM
  ibrav = 0, nat = 5, ntyp = 4
/
ATOMIC_SPECIES
V 50.94 V.upf
Rb 85.47 Rb.upf
Zr 91.22 Zr.upf
F 19.00 F.upf
CELL_PARAMETERS angstrom
-4.6523 -1.7883 -0.2721
1.3369 -2.9356 -3.5657
1.1600 -3.5257 3.3376
ATOMIC_POSITIONS crystal
V 0.5000 0.0000 0.0000
Rb 0.5000 0.5000 0.5000
Zr 0.0000 0.5000 0.0000
V 0.0000 0.0000 0.5000
F 0.0000 0.0000 0.0000